Record 1
The following is a PBE calculation of a relaxed structure of Li4AuO3, from Alexandria.

Geometry as extended XYZ:
```
16
Lattice="-0.618 -2.835 -4.082 0.265 -2.830 4.998 -6.606 2.053 -0.426" Properties=species:S:1:pos:R:3 pbc="T T T"
Au -5.012 -2.697 2.319
Au -1.646 -3.435 2.948
O -6.133 -1.131 -1.316
O -2.839 -2.197 -1.159
O -3.995 -1.187 1.372
O -0.680 -2.161 1.662
O -5.502 -3.642 0.221
O -2.185 -4.604 0.526
Li -6.346 0.564 -0.278
Li -3.491 -2.516 -3.022
Li -4.512 -1.607 -0.409
Li -1.383 -3.432 -1.344
Li -5.476 -0.132 2.146
Li -2.419 -2.289 0.732
Li -3.160 -1.104 3.440
Li -0.299 -4.156 0.738
```

Values from the calculation:
calculated density: 5.2 g/cm³
raw formation energy: -1.345 eV/atom
total energy: -73.13 eV for the cell shown


Record 2
The following is a PBE calculation of a relaxed structure of BaZn2Au5, from Alexandria.

Geometry as extended XYZ:
```
8
Lattice="-1.083 -0.137 -4.220 -6.353 -2.514 -0.539 -4.816 4.734 -1.169" Properties=species:S:1:pos:R:3 pbc="T T T"
Ba 0.000 0.000 0.000
Zn -9.123 1.547 -4.461
Zn -3.129 0.536 -1.465
Au -5.585 1.110 -0.854
Au -4.965 -0.699 -3.205
Au -7.287 2.781 -2.722
Au -7.881 -0.018 -2.479
Au -4.372 2.100 -3.448
```

Values from the calculation:
calculated density: 12.0 g/cm³
total energy: -23.55 eV for the cell shown


Record 3
The following is a PBE calculation of a relaxed structure of Tc2PbSe, from Alexandria.

Geometry as extended XYZ:
```
4
Lattice="-2.699 1.705 -5.283 -5.946 0.983 -1.334 4.923 1.156 3.539" Properties=species:S:1:pos:R:3 pbc="T T T"
Pb -3.994 1.242 -3.057
Se -2.385 1.652 -0.332
Tc -0.443 0.138 -0.339
Tc -1.221 2.156 -2.658
```

Values from the calculation:
calculated density: 11.0 g/cm³
E above lowest polymorph: 33.4 kJ per mole of atoms
raw formation energy: 0.499 eV/atom
total energy: -25.93 eV for the cell shown


Record 4
The following is a PBE calculation of a relaxed structure of LiPr2MgSe4, from Alexandria.

Geometry as extended XYZ:
```
8
Lattice="4.122 0.000 0.000 0.000 7.093 -0.156 0.000 2.482 6.671" Properties=species:S:1:pos:R:3 pbc="T T T"
Li 2.061 6.029 6.593
Pr 0.000 2.482 6.671
Pr 2.061 1.241 3.336
Mg 0.000 4.787 3.258
Se 0.000 7.030 4.911
Se 4.122 2.545 1.605
Se 2.061 5.773 1.620
Se 2.061 3.802 4.896
```

Values from the calculation:
calculated density: 5.3 g/cm³
raw formation energy: -1.559 eV/atom
total energy: -39.48 eV for the cell shown